## GePbSe2 (PBE)

Data for an optimized crystal structure of GePbSe2.

The calculation puts the uncorrected formation energy at -0.37 eV/atom. Its density of states at the Fermi level is 0.4 states/eV/cell.

The space group is R-3m (No. 166, hexagonal axes) and the conventional cell measures 4.1838, 4.1838 and 20.7388 Å, with angles of 90.00, 90.00 and 120.00 degrees. The distinct sites, in fractional coordinates, are Ge at (0.0000, 0.0000, 0.0000), Pb at (0.0000, 0.0000, 0.5000) and Se at (0.0000, 0.0000, 0.2588).